This record from the Alexandria database describes a crystal of HgAsAu relaxed with PBEsol. The functional is SCAN.

Energy of formation from the pure elements: 214 meV/atom
Fermi-level density of states: 1.18 states/eV per cell
Energy relative to the lowest polymorph listed for this composition: 0.000 eV/f.u.

Unit cell a=2.8107 b=3.7657 c=6.0538 alpha=108.12 beta=103.42 gamma=90.00
Fractional positions:
Hg1 0.6718 0.6718 0.3436
Au1 0.3467 0.3467 0.6935
As1 0.9815 0.9815 0.9629

This record from the Alexandria database describes a crystal of Y2ScAl relaxed with PBEsol. The functional is SCAN.

Energy of formation from the pure elements: -166 meV/atom
Fermi-level density of states: 4.56 states/eV per cell

Unit cell a=3.4060 b=4.9005 c=6.2999 alpha=90.00 beta=105.71 gamma=90.00
Site moments in Bohr magnetons follow the coordinates.
Fractional positions:
Y1 0.7128 0.5000 0.3013  0.19
Y2 0.0383 0.0000 0.9510  0.11
Al1 0.3109 0.0000 0.4974  -0.01
Sc1 0.4380 0.5000 0.7503  0.23

- Among the records above, which one has the highest energy of formation from the pure elements?
  HgAsAu

- energy of formation from the pure elements of number 1 (HgAsAu)?
  214 meV/atom

- Look up the energy of formation from the pure elements of the second one.
  -166 meV/atom